# 1
Material: Nd2MgZn4Si3
Method: DFT, PBE
State: relaxed

## Properties
For the uncorrected formation energy, the calculation gives -0.38 eV/atom.

abc: 4.179 4.179 10.807
angles: 90.00 90.00 90.00
Atoms (fractional coordinates):
Nd (0.000, 0.500, 0.241)
Nd (0.500, 0.000, 0.759)
Mg (0.000, 0.000, 0.500)
Zn (0.000, 0.000, 0.000)
Zn (0.000, 0.500, 0.643)
Zn (0.500, 0.000, 0.357)
Zn (0.500, 0.500, 0.000)
Si (0.000, 0.500, 0.866)
Si (0.500, 0.000, 0.134)
Si (0.500, 0.500, 0.500)

# 2
Material: Nd2SmMg2
Method: DFT, PBE
State: relaxed

## Properties
The value obtained for the formation energy is -0.08 eV per atom.

abc: 3.858 5.553 14.337
angles: 90.00 97.78 90.00
Atoms (fractional coordinates):
Nd (0.045, 0.250, 0.090)
Nd (0.236, 0.250, 0.474)
Nd (0.764, 0.750, 0.526)
Nd (0.955, 0.750, 0.910)
Sm (0.150, 0.750, 0.298)
Sm (0.850, 0.250, 0.702)
Mg (0.360, 0.750, 0.720)
Mg (0.448, 0.250, 0.894)
Mg (0.552, 0.750, 0.106)
Mg (0.640, 0.250, 0.280)

# 3
Material: Nd4Sm3Mg
Method: DFT, PBE
State: relaxed

## Properties
The value obtained for the formation energy is 0.01 eV per atom.

abc: 11.600 7.248 6.342
angles: 90.00 90.00 90.00
Atoms (fractional coordinates):
Nd (0.000, 0.119, 0.000)
Nd (0.000, 0.870, 0.531)
Nd (0.240, 0.868, 0.182)
Nd (0.260, 0.132, 0.682)
Nd (0.500, 0.130, 0.031)
Nd (0.500, 0.881, 0.500)
Nd (0.740, 0.132, 0.682)
Nd (0.760, 0.868, 0.182)
Sm (0.000, 0.374, 0.530)
Sm (0.242, 0.378, 0.189)
Sm (0.258, 0.622, 0.689)
Sm (0.500, 0.626, 0.030)
Sm (0.742, 0.622, 0.689)
Sm (0.758, 0.378, 0.189)
Mg (0.000, 0.616, 0.019)
Mg (0.500, 0.384, 0.519)

# 4
Material: Nd2Sm2Mg3
Method: DFT, PBE
State: relaxed

## Properties
The value obtained for the formation energy is -0.01 eV per atom.

abc: 14.345 14.345 3.801
angles: 90.00 90.00 164.31
Atoms (fractional coordinates):
Nd (0.069, 0.931, 0.000)
Nd (0.931, 0.069, 0.000)
Sm (0.201, 0.799, 0.000)
Sm (0.799, 0.201, 0.000)
Mg (0.364, 0.636, 0.500)
Mg (0.500, 0.500, 0.500)
Mg (0.636, 0.364, 0.500)

# 5
Material: NdSmMg3
Method: DFT, PBE
State: relaxed

## Properties
The value obtained for the formation energy is 0.01 eV per atom.

abc: 9.259 9.259 9.259
angles: 39.28 39.28 39.28
Atoms (fractional coordinates):
Nd (0.166, 0.166, 0.166)
Nd (0.834, 0.834, 0.834)
Sm (0.433, 0.433, 0.433)
Sm (0.567, 0.567, 0.567)
Mg (0.124, 0.124, 0.613)
Mg (0.124, 0.613, 0.124)
Mg (0.387, 0.876, 0.876)
Mg (0.613, 0.124, 0.124)
Mg (0.876, 0.387, 0.876)
Mg (0.876, 0.876, 0.387)

# 6
Material: NdSm2Mg5
Method: DFT, PBE
State: relaxed

## Properties
The value obtained for the formation energy is -0.10 eV per atom.

abc: 8.641 8.641 8.641
angles: 144.35 144.35 51.31
Atoms (fractional coordinates):
Nd (0.000, 0.000, 0.000)
Sm (0.260, 0.260, 0.000)
Sm (0.740, 0.740, 0.000)
Mg (0.119, 0.619, 0.500)
Mg (0.381, 0.881, 0.500)
Mg (0.500, 0.500, 0.000)
Mg (0.619, 0.119, 0.500)
Mg (0.881, 0.381, 0.500)

# 7
Material: NdSm7Mg4
Method: DFT, PBE
State: relaxed

## Properties
The value obtained for the formation energy is 0.14 eV per atom.

abc: 8.204 8.204 9.818
angles: 119.23 119.23 41.71
Atoms (fractional coordinates):
Nd (0.000, 0.000, 0.000)
Sm (0.080, 0.080, 0.426)
Sm (0.200, 0.200, 0.877)
Sm (0.253, 0.253, 0.290)
Sm (0.500, 0.500, 0.000)
Sm (0.747, 0.747, 0.710)
Sm (0.800, 0.800, 0.123)
Sm (0.920, 0.920, 0.574)
Mg (0.325, 0.325, 0.655)
Mg (0.461, 0.461, 0.305)
Mg (0.539, 0.539, 0.695)
Mg (0.675, 0.675, 0.345)

# 8
Material: Nd4Sm15Mg
Method: DFT, PBE
State: relaxed

## Properties
The value obtained for the formation energy is 0.01 eV per atom.

abc: 5.119 5.119 25.628
angles: 90.00 90.00 90.00
Atoms (fractional coordinates):
Nd (0.000, 0.000, 0.101)
Nd (0.000, 0.000, 0.303)
Nd (0.000, 0.000, 0.697)
Nd (0.000, 0.000, 0.899)
Sm (0.000, 0.500, 0.000)
Sm (0.000, 0.500, 0.202)
Sm (0.000, 0.500, 0.403)
Sm (0.000, 0.500, 0.597)
Sm (0.000, 0.500, 0.798)
Sm (0.500, 0.000, 0.000)
Sm (0.500, 0.000, 0.202)
Sm (0.500, 0.000, 0.403)
Sm (0.500, 0.000, 0.597)
Sm (0.500, 0.000, 0.798)
Sm (0.500, 0.500, 0.101)
Sm (0.500, 0.500, 0.304)
Sm (0.500, 0.500, 0.500)
Sm (0.500, 0.500, 0.696)
Sm (0.500, 0.500, 0.899)
Mg (0.000, 0.000, 0.500)

# 9
Material: Nd8Sm5Mg
Method: DFT, PBE
State: relaxed

## Properties
The value obtained for the formation energy is 0.17 eV per atom.

abc: 8.689 8.689 9.224
angles: 121.60 121.60 63.49
Atoms (fractional coordinates):
Nd (0.000, 0.469, 0.346)
Nd (0.075, 0.075, 0.428)
Nd (0.217, 0.312, 0.953)
Nd (0.469, 0.190, 0.356)
Nd (0.531, 0.000, 0.654)
Nd (0.688, 0.783, 0.047)
Nd (0.810, 0.531, 0.644)
Nd (0.925, 0.925, 0.572)
Sm (0.088, 0.912, 0.000)
Sm (0.335, 0.490, 0.757)
Sm (0.510, 0.665, 0.243)
Sm (0.692, 0.203, 0.122)
Sm (0.797, 0.308, 0.878)
Mg (0.336, 0.664, 0.500)

# 10
Material: Nd3Sm12Mg
Method: DFT, PBE
State: relaxed

## Properties
The value obtained for the formation energy is 0.02 eV per atom.

abc: 5.110 5.110 20.488
angles: 90.00 90.00 90.00
Atoms (fractional coordinates):
Nd (0.000, 0.000, 0.000)
Nd (0.000, 0.000, 0.253)
Nd (0.000, 0.000, 0.747)
Sm (0.000, 0.500, 0.126)
Sm (0.000, 0.500, 0.378)
Sm (0.000, 0.500, 0.622)
Sm (0.000, 0.500, 0.874)
Sm (0.500, 0.000, 0.126)
Sm (0.500, 0.000, 0.378)
Sm (0.500, 0.000, 0.622)
Sm (0.500, 0.000, 0.874)
Sm (0.500, 0.500, 0.000)
Sm (0.500, 0.500, 0.255)
Sm (0.500, 0.500, 0.500)
Sm (0.500, 0.500, 0.745)
Mg (0.000, 0.000, 0.500)

# 11
Material: Nd7Sm3Mg
Method: DFT, PBE
State: relaxed

## Properties
The value obtained for the formation energy is 0.17 eV per atom.

abc: 7.173 7.173 8.771
angles: 90.00 90.00 120.00
Atoms (fractional coordinates):
Nd (0.000, 0.000, 0.000)
Nd (0.165, 0.330, 0.666)
Nd (0.165, 0.835, 0.666)
Nd (0.500, 0.001, 0.999)
Nd (0.500, 0.500, 0.999)
Nd (0.670, 0.835, 0.666)
Nd (0.999, 0.500, 0.999)
Sm (0.331, 0.165, 0.333)
Sm (0.835, 0.165, 0.333)
Sm (0.835, 0.669, 0.333)
Mg (0.667, 0.333, 0.668)

# 12
Material: Nd5Sm4Mg
Method: DFT, PBE
State: relaxed

## Properties
The value obtained for the formation energy is -0.01 eV per atom.

abc: 3.676 3.676 24.860
angles: 90.00 90.00 90.00
Atoms (fractional coordinates):
Nd (0.000, 0.000, 0.000)
Nd (0.000, 0.000, 0.207)
Nd (0.000, 0.000, 0.412)
Nd (0.000, 0.000, 0.588)
Nd (0.000, 0.000, 0.793)
Sm (0.500, 0.500, 0.103)
Sm (0.500, 0.500, 0.310)
Sm (0.500, 0.500, 0.690)
Sm (0.500, 0.500, 0.897)
Mg (0.500, 0.500, 0.500)

# 13
Material: Nd3Sm3Mg
Method: DFT, PBE
State: relaxed

## Properties
The value obtained for the formation energy is 0.02 eV per atom.

abc: 9.636 9.636 5.771
angles: 90.00 90.00 120.00
Atoms (fractional coordinates):
Nd (0.058, 0.245, 0.250)
Nd (0.187, 0.942, 0.250)
Nd (0.245, 0.187, 0.750)
Nd (0.755, 0.813, 0.250)
Nd (0.813, 0.058, 0.750)
Nd (0.942, 0.755, 0.750)
Sm (0.103, 0.479, 0.750)
Sm (0.376, 0.897, 0.750)
Sm (0.479, 0.376, 0.250)
Sm (0.521, 0.624, 0.750)
Sm (0.624, 0.103, 0.250)
Sm (0.897, 0.521, 0.250)
Mg (0.333, 0.667, 0.250)
Mg (0.667, 0.333, 0.750)

# 14
Material: Nd3SmMg4
Method: DFT, PBE
State: relaxed

## Properties
The value obtained for the formation energy is 0.12 eV per atom.

abc: 9.637 9.637 8.562
angles: 116.34 116.34 20.27
Atoms (fractional coordinates):
Nd (0.000, 0.000, 0.000)
Nd (0.197, 0.197, 0.696)
Nd (0.803, 0.803, 0.304)
Sm (0.500, 0.500, 0.500)
Mg (0.363, 0.363, 0.057)
Mg (0.363, 0.363, 0.671)
Mg (0.637, 0.637, 0.329)
Mg (0.637, 0.637, 0.943)

# 15
Material: NdSmMg
Method: DFT, PBE
State: relaxed

## Properties
The value obtained for the formation energy is 0.03 eV per atom.

abc: 5.550 5.550 3.461
angles: 90.00 90.00 120.00
Atoms (fractional coordinates):
Nd (0.000, 0.000, 0.000)
Sm (0.667, 0.333, 0.567)
Mg (0.333, 0.667, 0.292)

# 16
Material: Nd3Sm5Mg
Method: DFT, PBE
State: relaxed

## Properties
The value obtained for the formation energy is 0.34 eV per atom.

abc: 7.027 7.027 13.684
angles: 90.94 90.94 71.52
Atoms (fractional coordinates):
Nd (0.000, 0.000, 0.000)
Nd (0.000, 0.000, 0.500)
Nd (0.242, 0.242, 0.382)
Nd (0.365, 0.365, 0.991)
Nd (0.635, 0.635, 0.009)
Nd (0.758, 0.758, 0.618)
Sm (0.016, 0.463, 0.165)
Sm (0.248, 0.248, 0.625)
Sm (0.327, 0.673, 0.500)
Sm (0.463, 0.016, 0.165)
Sm (0.496, 0.496, 0.245)
Sm (0.504, 0.504, 0.755)
Sm (0.537, 0.984, 0.835)
Sm (0.673, 0.327, 0.500)
Sm (0.752, 0.752, 0.375)
Sm (0.984, 0.537, 0.835)
Mg (0.007, 0.007, 0.753)
Mg (0.993, 0.993, 0.247)

# 17
Material: Nd2Sm9Mg
Method: DFT, PBE
State: relaxed

## Properties
The value obtained for the formation energy is 0.02 eV per atom.

abc: 5.092 5.092 15.358
angles: 90.00 90.00 90.00
Atoms (fractional coordinates):
Nd (0.000, 0.000, 0.170)
Nd (0.000, 0.000, 0.830)
Sm (0.000, 0.500, 0.000)
Sm (0.000, 0.500, 0.337)
Sm (0.000, 0.500, 0.663)
Sm (0.500, 0.000, 0.000)
Sm (0.500, 0.000, 0.337)
Sm (0.500, 0.000, 0.663)
Sm (0.500, 0.500, 0.171)
Sm (0.500, 0.500, 0.500)
Sm (0.500, 0.500, 0.829)
Mg (0.000, 0.000, 0.500)

# 18
Material: Nd7Sm12Mg
Method: DFT, PBE
State: relaxed

## Properties
The value obtained for the formation energy is 0.61 eV per atom.

abc: 9.991 9.991 9.991
angles: 109.47 109.47 109.47
Atoms (fractional coordinates):
Nd (0.000, 0.000, 0.500)
Nd (0.000, 0.500, 0.000)
Nd (0.000, 0.500, 0.500)
Nd (0.500, 0.000, 0.000)
Nd (0.500, 0.000, 0.500)
Nd (0.500, 0.500, 0.000)
Nd (0.500, 0.500, 0.500)
Sm (0.000, 0.244, 0.756)
Sm (0.000, 0.756, 0.244)
Sm (0.244, 0.000, 0.756)
Sm (0.244, 0.244, 0.488)
Sm (0.244, 0.488, 0.244)
Sm (0.244, 0.756, 0.000)
Sm (0.488, 0.244, 0.244)
Sm (0.512, 0.756, 0.756)
Sm (0.756, 0.000, 0.244)
Sm (0.756, 0.244, 0.000)
Sm (0.756, 0.512, 0.756)
Sm (0.756, 0.756, 0.512)
Mg (0.000, 0.000, 0.000)

# 19
Material: Nd2Sm7Mg
Method: DFT, PBE
State: relaxed

## Properties
The value obtained for the formation energy is 0.61 eV per atom.

abc: 9.243 9.243 5.542
angles: 90.00 90.00 123.38
Atoms (fractional coordinates):
Nd (0.208, 0.792, 0.000)
Nd (0.792, 0.208, 0.000)
Sm (0.000, 0.000, 0.000)
Sm (0.214, 0.430, 0.000)
Sm (0.281, 0.719, 0.500)
Sm (0.430, 0.214, 0.000)
Sm (0.570, 0.786, 0.000)
Sm (0.719, 0.281, 0.500)
Sm (0.786, 0.570, 0.000)
Mg (0.500, 0.500, 0.500)

# 20
Material: Nd5Sm2Mg
Method: DFT, PBE
State: relaxed

## Properties
The value obtained for the formation energy is 0.00 eV per atom.

abc: 8.600 7.314 6.860
angles: 74.64 55.09 50.28
Atoms (fractional coordinates):
Nd (0.000, 0.000, 0.000)
Nd (0.003, 0.480, 0.997)
Nd (0.409, 0.409, 0.091)
Nd (0.480, 0.003, 0.520)
Nd (0.909, 0.909, 0.591)
Sm (0.417, 0.897, 0.103)
Sm (0.897, 0.417, 0.583)
Mg (0.493, 0.493, 0.507)

no.,calculated density (Mg/m³)
1,5.80
2,5.32
3,6.55
4,5.20
5,4.26
6,4.31
7,5.73
8,7.06
9,6.53
10,7.02
11,6.31
12,6.66
13,6.50
14,4.59
15,5.74
16,6.27
17,6.95
18,6.14
19,5.73
20,6.47